Entry A
ReMoPb2 (PBE, optimized geometry); space-group type = Cmmm; density = 14.24 g/cm³; size of the total moment = 0.00 μB/cell; crystal system = orthorhombic
1.0
1.656 -2.682 0.000
1.656 2.682 0.000
0.000 0.000 9.145
Re Mo Pb
1 1 2
direct
0.000 0.000 0.000
0.000 0.000 0.500
0.500 0.500 0.247
0.500 0.500 0.753

***

Entry B
ReMoPb2 (PBE, optimized geometry); space-group type = Fm-3m; density = 14.78 g/cm³; size of the total moment = 1.77 μB/cell; crystal system = cubic
1.0
0.000 3.395 3.395
3.395 0.000 3.395
3.395 3.395 0.000
Re Mo Pb
1 1 2
direct
0.000 0.000 0.000
0.500 0.500 0.500
0.250 0.250 0.250
0.750 0.750 0.750

***

Entry C
ReMoPb2 (PBE, optimized geometry); space-group type = Amm2; density = 13.70 g/cm³; size of the total moment = 0.00 μB/cell; crystal system = orthorhombic
1.0
4.458 0.000 0.000
0.000 1.791 5.289
0.000 -1.791 5.289
Re Mo Pb
1 1 2
direct
0.000 0.000 0.000
0.500 0.120 0.120
0.000 0.719 0.719
0.500 0.401 0.401

***

Name the most stable of them. entry C.

***

Entry A
ReMoPb3 (PBE, optimized geometry); space-group type = Pm-3m; density = 9.85 g/cm³; size of the total moment = 5.08 μB/cell; crystal system = cubic
1.0
5.341 0.000 0.000
0.000 5.341 0.000
0.000 0.000 5.341
Re Mo Pb
1 1 3
direct
0.000 0.000 0.000
0.500 0.500 0.500
0.000 0.000 0.500
0.000 0.500 0.000
0.500 0.000 0.000

***

Entry B
ReMoPb3 (PBE, optimized geometry); space-group type = Pm-3m; density = 9.68 g/cm³; size of the total moment = 5.00 μB/cell; crystal system = cubic
1.0
5.371 0.000 0.000
0.000 5.371 0.000
0.000 0.000 5.371
Re Mo Pb
1 1 3
direct
0.000 0.000 0.000
0.500 0.500 0.500
0.000 0.500 0.500
0.500 0.000 0.500
0.500 0.500 0.000

***

Name the most stable of them. entry A.

***

Entry A
MoRhPb2 (PBE, optimized geometry); space-group type = Fm-3m; density = 13.08 g/cm³; size of the total moment = 0.00 μB/cell; crystal system = cubic
1.0
0.000 3.389 3.389
3.389 0.000 3.389
3.389 3.389 0.000
Mo Rh Pb
1 1 2
direct
0.000 0.000 0.000
0.500 0.500 0.500
0.250 0.250 0.250
0.750 0.750 0.750

***

Entry B
MoRhPb2 (PBE, optimized geometry); space-group type = I-4m2; density = 12.60 g/cm³; size of the total moment = 0.77 μB/cell; crystal system = tetragonal
1.0
-2.001 2.001 5.043
2.001 -2.001 5.043
2.001 2.001 -5.043
Mo Rh Pb
1 1 2
direct
0.000 0.000 0.000
0.750 0.250 0.500
0.250 0.750 0.500
0.500 0.500 0.000

***

Entry C
MoRhPb2 (PBE, optimized geometry); space-group type = P4/mmm; density = 13.11 g/cm³; size of the total moment = 0.00 μB/cell; crystal system = tetragonal
1.0
4.757 0.000 0.000
0.000 4.757 0.000
0.000 0.000 3.434
Mo Rh Pb
1 1 2
direct
0.000 0.000 0.000
0.500 0.500 0.000
0.000 0.500 0.500
0.500 0.000 0.500

***

Entry D
MoRhPb2 (PBE, optimized geometry); space-group type = Immm; density = 12.45 g/cm³; size of the total moment = 0.49 μB/cell; crystal system = orthorhombic
1.0
-1.733 2.694 4.381
1.733 -2.694 4.381
1.733 2.694 -4.381
Mo Rh Pb
1 1 2
direct
0.000 0.000 0.000
0.500 0.500 0.000
0.260 0.760 0.500
0.740 0.240 0.500

***

Name the most stable of them. entry C.

***

Entry A
MoRhPb2 (PBE, optimized geometry); space-group type = P4mm; density = 11.46 g/cm³; size of the total moment = 0.00 μB/cell; crystal system = tetragonal
1.0
3.099 0.000 0.000
0.000 3.099 0.000
0.000 0.000 9.254
Mo Rh Pb
1 1 2
direct
0.000 0.000 0.000
0.500 0.500 0.841
0.000 0.000 0.608
0.500 0.500 0.246

***

Entry B
MoRhPb2 (PBE, optimized geometry); space-group type = I-42d; density = 11.40 g/cm³; size of the total moment = 4.86 μB/cell; crystal system = tetragonal
1.0
-3.804 3.804 3.086
3.804 -3.804 3.086
3.804 3.804 -3.086
Mo Rh Pb
2 2 4
direct
0.000 0.000 0.000
0.750 0.250 0.500
0.250 0.750 0.500
0.500 0.500 0.000
0.145 0.625 0.020
0.375 0.395 0.520
0.605 0.125 0.980
0.875 0.855 0.480

***

Name the most stable of them. entry A.

***

Entry A
MoRhPb2 (PBE, optimized geometry); space-group type = Cmmm; density = 12.60 g/cm³; size of the total moment = 0.00 μB/cell; crystal system = orthorhombic
1.0
1.864 -2.559 0.000
1.864 2.559 0.000
0.000 0.000 8.470
Mo Rh Pb
1 1 2
direct
0.000 0.000 0.000
0.000 0.000 0.500
0.500 0.500 0.261
0.500 0.500 0.739

***

Entry B
MoRhPb2 (PBE, optimized geometry); space-group type = C2/m; density = 12.65 g/cm³; size of the total moment = 0.00 μB/cell; crystal system = monoclinic
1.0
4.505 -1.573 0.000
4.505 1.573 0.000
-1.283 0.000 5.677
Mo Rh Pb
1 1 2
direct
0.000 0.000 0.000
0.500 0.500 0.500
0.245 0.245 0.746
0.755 0.755 0.254

***

Entry C
MoRhPb2 (PBE, optimized geometry); space-group type = R-3m; density = 12.67 g/cm³; size of the total moment = 0.34 μB/cell; crystal system = trigonal
1.0
1.639 0.946 8.632
-1.639 0.946 8.632
0.000 -1.893 8.632
Mo Rh Pb
1 1 2
direct
0.000 0.000 0.000
0.500 0.500 0.500
0.247 0.247 0.247
0.753 0.753 0.753

***

Name the most stable of them. entry C.

***

Entry A
MoRhPb2 (PBE, optimized geometry); space-group type = Pmmm; density = 13.08 g/cm³; size of the total moment = 0.00 μB/cell; crystal system = orthorhombic
1.0
3.398 0.000 0.000
0.000 3.414 0.000
0.000 0.000 6.713
Mo Rh Pb
1 1 2
direct
0.000 0.000 0.000
0.000 0.000 0.500
0.500 0.500 0.252
0.500 0.500 0.748

***

Entry B
MoRhPb2 (PBE, optimized geometry); space-group type = F-43m; density = 12.10 g/cm³; size of the total moment = 2.63 μB/cell; crystal system = cubic
1.0
0.000 3.478 3.478
3.478 0.000 3.478
3.478 3.478 0.000
Mo Rh Pb
1 1 2
direct
0.000 0.000 0.000
0.750 0.750 0.750
0.250 0.250 0.250
0.500 0.500 0.500

***

Entry C
MoRhPb2 (PBE, optimized geometry); space-group type = P2/m; density = 12.47 g/cm³; size of the total moment = 0.01 μB/cell; crystal system = monoclinic
1.0
3.131 0.000 0.000
0.000 4.386 0.000
-0.476 0.000 5.948
Mo Rh Pb
1 1 2
direct
0.000 0.000 0.000
0.500 0.000 0.500
0.299 0.500 0.749
0.701 0.500 0.251

***

Entry D
MoRhPb2 (PBE, optimized geometry); space-group type = Cm; density = 12.60 g/cm³; size of the total moment = 0.00 μB/cell; crystal system = monoclinic
1.0
5.300 -1.556 0.000
5.300 1.556 0.000
-1.903 0.000 4.900
Mo Rh Pb
1 1 2
direct
0.000 0.000 0.000
0.695 0.695 0.357
0.242 0.242 0.868
0.453 0.453 0.483

***

Name the most stable of them. entry D.

***

Entry A
MoRhPb3 (PBE, optimized geometry); space-group type = Pm-3m; density = 9.00 g/cm³; size of the total moment = 1.39 μB/cell; crystal system = cubic
1.0
5.330 0.000 0.000
0.000 5.330 0.000
0.000 0.000 5.330
Mo Rh Pb
1 1 3
direct
0.000 0.000 0.000
0.500 0.500 0.500
0.000 0.000 0.500
0.000 0.500 0.000
0.500 0.000 0.000

***

Entry B
MoRhPb3 (PBE, optimized geometry); space-group type = Pm-3m; density = 9.38 g/cm³; size of the total moment = 3.66 μB/cell; crystal system = cubic
1.0
5.257 0.000 0.000
0.000 5.257 0.000
0.000 0.000 5.257
Mo Rh Pb
1 1 3
direct
0.000 0.000 0.000
0.500 0.500 0.500
0.000 0.500 0.500
0.500 0.000 0.500
0.500 0.500 0.000

***

Name the most stable of them. entry B.

***

Entry A
MoRhPb (PBE, optimized geometry); space-group type = I4mm; density = 12.11 g/cm³; size of the total moment = 0.00 μB/cell; crystal system = tetragonal
1.0
-1.526 1.526 5.981
1.526 -1.526 5.981
1.526 1.526 -5.981
Mo Rh Pb
1 1 1
direct
0.000 0.000 0.000
0.626 0.626 0.000
0.312 0.312 0.000

***

Entry B
MoRhPb (PBE, optimized geometry); space-group type = F-43m; density = 11.09 g/cm³; size of the total moment = 1.00 μB/cell; crystal system = cubic
1.0
0.000 3.121 3.121
3.121 0.000 3.121
3.121 3.121 0.000
Mo Rh Pb
1 1 1
direct
0.000 0.000 0.000
0.750 0.750 0.750
0.500 0.500 0.500

***

Name the most stable of them. entry A.

***

Entry A
MoRh3Pb (PBE, optimized geometry); space-group type = Pm-3m; density = 9.52 g/cm³; size of the total moment = 0.00 μB/cell; crystal system = cubic
1.0
4.744 0.000 0.000
0.000 4.744 0.000
0.000 0.000 4.744
Mo Rh Pb
1 3 1
direct
0.000 0.000 0.000
0.000 0.000 0.500
0.000 0.500 0.000
0.500 0.000 0.000
0.500 0.500 0.500

***

Entry B
MoRh3Pb (PBE, optimized geometry); space-group type = Pm-3m; density = 8.95 g/cm³; size of the total moment = 0.00 μB/cell; crystal system = cubic
1.0
4.842 0.000 0.000
0.000 4.842 0.000
0.000 0.000 4.842
Mo Rh Pb
1 3 1
direct
0.000 0.000 0.000
0.000 0.500 0.500
0.500 0.000 0.500
0.500 0.500 0.000
0.500 0.500 0.500

***

Name the most stable of them. entry A.

***

Entry A
MoRu2Pb2 (PBE, optimized geometry); space-group type = I4/mmm; density = 11.42 g/cm³; size of the total moment = 0.00 μB/cell; crystal system = tetragonal
1.0
-2.033 2.033 6.266
2.033 -2.033 6.266
2.033 2.033 -6.266
Mo Ru Pb
1 2 2
direct
0.000 0.000 0.000
0.406 0.406 0.000
0.594 0.594 0.000
0.250 0.750 0.500
0.750 0.250 0.500

***

Entry B
MoRu2Pb2 (PBE, optimized geometry); space-group type = P4/mbm; density = 12.04 g/cm³; size of the total moment = 0.00 μB/cell; crystal system = tetragonal
1.0
6.682 0.000 0.000
0.000 6.682 0.000
0.000 0.000 4.401
Mo Ru Pb
2 4 4
direct
0.000 0.000 0.000
0.500 0.500 0.000
0.135 0.365 0.000
0.365 0.865 0.000
0.635 0.135 0.000
0.865 0.635 0.000
0.177 0.677 0.500
0.323 0.177 0.500
0.677 0.823 0.500
0.823 0.323 0.500

***

Name the most stable of them. entry B.

***

Entry A
MoRu3Pb (PBE, optimized geometry); space-group type = Pm-3m; density = 9.03 g/cm³; size of the total moment = 0.00 μB/cell; crystal system = cubic
1.0
4.813 0.000 0.000
0.000 4.813 0.000
0.000 0.000 4.813
Mo Ru Pb
1 3 1
direct
0.000 0.000 0.000
0.000 0.500 0.500
0.500 0.000 0.500
0.500 0.500 0.000
0.500 0.500 0.500

***

Entry B
MoRu3Pb (PBE, optimized geometry); space-group type = Pm-3m; density = 9.66 g/cm³; size of the total moment = 0.00 μB/cell; crystal system = cubic
1.0
4.706 0.000 0.000
0.000 4.706 0.000
0.000 0.000 4.706
Mo Ru Pb
1 3 1
direct
0.000 0.000 0.000
0.000 0.000 0.500
0.000 0.500 0.000
0.500 0.000 0.000
0.500 0.500 0.500

***

Name the most stable of them. entry B.